--- w ---
{"formula": "LaMgGaPd", "functional": "GGA-PBE", "state": "relaxed", "cell": [[0.0000, 3.4757, 3.4757], [3.4757, 0.0000, 3.4757], [3.4757, 3.4757, 0.0000]], "species": ["Mg", "Ga", "La", "Pd"], "fractional_positions": [[0.7500, 0.7500, 0.7500], [0.2500, 0.2500, 0.2500], [0.5000, 0.5000, 0.5000], [0.0000, 0.0000, 0.0000]], "rho_g_cm3": 6.7, "spacegroup": "F-43m (216)"}

=====

--- x ---
{"formula": "LaMgGaPd", "functional": "GGA-PBE", "state": "relaxed", "cell": [[0.0000, 3.5264, 3.5264], [3.5264, 0.0000, 3.5264], [3.5264, 3.5264, 0.0000]], "species": ["Pd", "La", "Mg", "Ga"], "fractional_positions": [[0.0000, 0.0000, 0.0000], [0.2500, 0.2500, 0.2500], [0.7500, 0.7500, 0.7500], [0.5000, 0.5000, 0.5000]], "rho_g_cm3": 6.4, "spacegroup": "F-43m (216)"}

=====

--- y ---
{"formula": "LaMgGaPd", "functional": "GGA-PBE", "state": "relaxed", "cell": [[0.0000, 3.4754, 3.4754], [3.4754, 0.0000, 3.4754], [3.4754, 3.4754, 0.0000]], "species": ["Pd", "Mg", "Ga", "La"], "fractional_positions": [[0.2500, 0.2500, 0.2500], [0.7500, 0.7500, 0.7500], [0.0000, 0.0000, 0.0000], [0.5000, 0.5000, 0.5000]], "rho_g_cm3": 6.7, "spacegroup": "F-43m (216)"}

=====

Energetically preferred structure: x | next structure: +109 meV/atom

=====

--- w ---
{"formula": "LaGaMo", "functional": "GGA-PBE", "state": "relaxed", "cell": [[0.0000, 3.4863, 3.4863], [3.4863, 0.0000, 3.4863], [3.4863, 3.4863, 0.0000]], "species": ["La", "Mo", "Ga"], "fractional_positions": [[0.0000, 0.0000, 0.0000], [0.7500, 0.7500, 0.7500], [0.2500, 0.2500, 0.2500]], "rho_g_cm3": 6.0, "spacegroup": "F-43m (216)"}

=====

--- x ---
{"formula": "LaGaMo", "functional": "GGA-PBE", "state": "relaxed", "cell": [[0.0000, 3.2437, 3.2437], [3.2437, 0.0000, 3.2437], [3.2437, 3.2437, 0.0000]], "species": ["Ga", "La", "Mo"], "fractional_positions": [[0.2500, 0.2500, 0.2500], [0.7500, 0.7500, 0.7500], [0.0000, 0.0000, 0.0000]], "rho_g_cm3": 7.4, "spacegroup": "F-43m (216)"}

=====

Energetically preferred structure: x | next structure: +684 meV/atom